# 1
Here is a relaxed PrNdCu crystal from Alexandria via LeMat-Bulk. Energies are from GGA-PBE.

Summary:
Total magnetic moment (μB/atom): 0.00
Crystal system: tetragonal
Offset from the most stable computed form (meV per atom): 27
Mass density (Mg/m³): 6.9
Energy of formation from the pure elements (meV per atom): -63

a = 3.634 Å, b = 3.634 Å, c = 12.640 Å
α = 90.00°, β = 90.00°, γ = 90.00°
Space group I4mm (No. 107)
Unique sites:
Pr 0.000 0.000 0.000
Nd 0.000 0.000 0.723
Cu 0.000 0.000 0.358

***

# 2
Here is a relaxed PrGe2Te4 crystal from Alexandria via LeMat-Bulk. Energies are from GGA-PBE.

Summary:
Total magnetic moment (μB/atom): 0.00
Formation energy without anion corrections (eV/atom): -0.315
Crystal system: tetragonal
Mass density (Mg/m³): 5.4

a = 8.301 Å, b = 8.301 Å, c = 7.063 Å
α = 90.00°, β = 90.00°, γ = 90.00°
Space group I4/m (No. 87)
Unique sites:
Pr 0.000 0.000 0.000
Ge 0.000 0.500 0.250
Te 0.172 0.300 0.500